Compound: TlSiIr
Source: the Alexandria database
Functional: PBE
Structure: relaxed

Computed properties:
- space group = No. 156
- ΔE_f (raw) (meV per atom) = 71

```
3
Lattice="-3.497 0.284 -1.115 0.852 -2.162 2.855 -0.731 4.126 3.343" Properties=species:S:1:pos:R:3 pbc="T T T"
Ir -0.054 0.305 0.247
Si -2.228 0.487 1.034
Tl -1.094 1.456 3.802
```


Compound: MnCd2As2
Source: the Alexandria database
Functional: PBE
Structure: relaxed

Computed properties:
- ΔE_f (kJ/mol of atoms) = 7
- space group = No. 127

```
10
Lattice="6.238 0.000 0.000 0.000 6.238 0.000 0.000 0.000 5.529" Properties=species:S:1:pos:R:3 pbc="T T T"
As 2.223 5.342 0.000
As 5.342 4.015 0.000
As 4.015 0.896 0.000
As 0.896 2.223 0.000
Mn 0.000 0.000 0.000
Mn 3.119 3.119 0.000
Cd 1.942 5.061 2.765
Cd 5.061 4.296 2.765
Cd 4.296 1.177 2.765
Cd 1.177 1.942 2.765
```


Compound: PrHoMn
Source: the Alexandria database
Functional: PBE
Structure: relaxed

Computed properties:
- ΔE_f (kJ/mol of atoms) = 20
- space group = No. 107

```
3
Lattice="3.560 0.000 0.000 0.000 3.560 0.000 -1.780 -1.780 6.450" Properties=species:S:1:pos:R:3 pbc="T T T"
Pr 0.000 0.000 0.340
Mn 1.780 1.780 2.226
Ho 0.000 0.000 3.885
```


Compound: FeReI2
Source: the Alexandria database
Functional: PBE
Structure: relaxed

Computed properties:
- space group = No. 225
- ΔE_f (raw) (meV per atom) = 1356

```
4
Lattice="0.000 3.375 3.375 3.375 0.000 3.375 3.375 3.375 0.000" Properties=species:S:1:pos:R:3 pbc="T T T"
I 1.687 1.687 1.687
I 5.062 5.062 5.062
Re 3.375 3.375 3.375
Fe 0.000 0.000 0.000
```


Compound: LaTb2Mg
Source: the Alexandria database
Functional: PBE
Structure: relaxed

Computed properties:
- ΔE_f (kJ/mol of atoms) = -3
- space group = No. 12

```
4
Lattice="3.669 0.000 -1.142 -0.727 5.115 -2.334 0.083 -0.066 6.733" Properties=species:S:1:pos:R:3 pbc="T T T"
La -0.363 2.557 -1.167
Tb 2.319 3.915 0.984
Tb 0.707 1.133 2.272
Mg 1.835 0.000 -0.571
```


Compound: TaRe2Ir
Source: the Alexandria database
Functional: PBE
Structure: relaxed

Computed properties:
- ΔE_f (kJ/mol of atoms) = -20
- space group = No. 123

```
4
Lattice="4.013 0.000 0.000 0.000 3.934 0.000 0.000 0.000 3.934" Properties=species:S:1:pos:R:3 pbc="T T T"
Ir 2.006 0.000 1.967
Re 0.000 0.000 0.000
Re 0.000 1.967 1.967
Ta 2.006 1.967 0.000
```


no.,M_tot (Bohr magnetons per cell)
1,0.00
2,5.19
3,2.92
4,2.65
5,0.00
6,0.00